Entry from the Alexandria database: crystalline AcMn2SbO8 at its relaxed geometry (GGA+U).

a = 5.3789 Å, b = 5.3789 Å, c = 7.0729 Å
α = 90.00°, β = 90.00°, γ = 120.00°
Last column: nearest neighbours and their distance in Å.
Space group P-3 (No. 147)
Unique sites:
Ac: 0.0000 0.0000 0.0000 [1 per cell]  6 O 2.72
Mn: 0.3333 0.6667 0.7286 [2 per cell]  4 O 1.73-1.85
Sb: 0.0000 0.0000 0.5000 [1 per cell]  6 O 2.00
O: 0.0323 0.2994 0.6815 [6 per cell]  1 Mn 1.85, 1 Sb 2.00
O: 0.3333 0.6667 0.9728 [2 per cell]  1 Mn 1.73

## Properties
Fermi-level density of states = 0.42 states/eV/atom
Electronic total energy = -81.47 eV/cell